# FeNi2Pt3, optimized geometry, DFT GGA-PBE
# * DOS at the Fermi energy: 14.28 states/eV/cell
# * distance to the lowest polymorph of the same formula: 38 meV per atom
# * E_tot: -6.49 eV per atom
# * energy of formation from the pure elements: -0.13 eV/atom
# * magnetic moment: 11.50 Bohr magnetons per cell
data_FeNi2Pt3
_space_group_name_H-M_alt 'P -3 m 1'
_space_group_IT_number 164
_space_group_name_Hall '-P 3 2"'
_cell_length_a 5.4294
_cell_length_b 5.4294
_cell_length_c 6.4937
_cell_angle_alpha 90.00
_cell_angle_beta 90.00
_cell_angle_gamma 120.00
loop_
_atom_site_label
_atom_site_type_symbol
_atom_site_fract_x
_atom_site_fract_y
_atom_site_fract_z
_atom_site_occupancy
Fe1 Fe 0.3333 0.6667 0.3281 1
Ni1 Ni 0.0000 0.0000 0.0000 1
Ni2 Ni 0.0000 0.5000 0.0000 1
Pt1 Pt 0.1675 0.3350 0.6792 1

***

# Fe2Ni5Pt, optimized geometry, DFT GGA-PBE
# * DOS at the Fermi energy: 8.86 states/eV/cell
# * distance to the lowest polymorph of the same formula: 0 meV per atom
# * E_tot: -6.62 eV per atom
# * energy of formation from the pure elements: -0.13 eV/atom
# * magnetic moment: 19.43 Bohr magnetons per cell
data_Fe2Ni5Pt
_space_group_name_H-M_alt 'P b a m'
_space_group_IT_number 55
_cell_length_a 5.128
_cell_length_b 10.241
_cell_length_c 3.605
_cell_angle_alpha 90.00
_cell_angle_beta 90.00
_cell_angle_gamma 90.00
loop_
_space_group_symop_operation_xyz
'x,y,z'
'-x,-y,-z'
'-x,-y,z'
'x,y,-z'
'x+1/2,-y+1/2,-z'
'-x+1/2,y+1/2,z'
'-x+1/2,y+1/2,-z'
'x+1/2,-y+1/2,z'
loop_
_atom_site_label
_atom_site_type_symbol
_atom_site_fract_x
_atom_site_fract_y
_atom_site_fract_z
_atom_site_occupancy
Fe1 Fe 0.240 0.130 0.000 1
Ni1 Ni 0.000 0.000 0.500 1
Ni2 Ni 0.001 0.248 0.500 1
Ni3 Ni 0.243 0.871 0.000 1
Pt1 Pt 0.000 0.500 0.500 1

***

# FeNi2Pt, optimized geometry, DFT GGA-PBE
# * DOS at the Fermi energy: 17.19 states/eV/cell
# * E_tot: -6.55 eV per atom
# * energy of formation from the pure elements: -0.03 eV/atom
# * magnetic moment: 12.86 Bohr magnetons per cell
data_FeNi2Pt
_space_group_name_H-M_alt 'R 3 m'
_space_group_IT_number 160
_space_group_name_Hall 'R 3 -2"'
_cell_length_a 2.6467
_cell_length_b 2.6467
_cell_length_c 25.0696
_cell_angle_alpha 90.00
_cell_angle_beta 90.00
_cell_angle_gamma 120.00
loop_
_atom_site_label
_atom_site_type_symbol
_atom_site_fract_x
_atom_site_fract_y
_atom_site_fract_z
_atom_site_occupancy
Fe1 Fe 0.0000 0.0000 0.0000 1
Ni1 Ni 0.0000 0.0000 0.2544 1
Ni2 Ni 0.0000 0.0000 0.5089 1
Pt1 Pt 0.0000 0.0000 0.7541 1

***

# Fe2NiPt, optimized geometry, DFT GGA-PBE
# * DOS at the Fermi energy: 22.41 states/eV/cell
# * E_tot: -6.69 eV per atom
# * energy of formation from the pure elements: 0.49 eV/atom
# * magnetic moment: 0.00 Bohr magnetons per cell
data_Fe2NiPt
_space_group_name_H-M_alt 'I -4 2 d'
_space_group_IT_number 122
_space_group_name_Hall 'I -4 2bw'
_cell_length_a 3.527
_cell_length_b 3.527
_cell_length_c 16.673
_cell_angle_alpha 90.00
_cell_angle_beta 90.00
_cell_angle_gamma 90.00
loop_
_atom_site_label
_atom_site_type_symbol
_atom_site_fract_x
_atom_site_fract_y
_atom_site_fract_z
_atom_site_occupancy
Fe1 Fe 0.191 0.250 0.125 1
Ni1 Ni 0.000 0.000 0.000 1
Pt1 Pt 0.000 0.000 0.500 1

***

# Fe6Ni8Pt, optimized geometry, DFT GGA-PBE
# * DOS at the Fermi energy: 47.02 states/eV/cell
# * E_tot: -6.55 eV per atom
# * energy of formation from the pure elements: 0.32 eV/atom
# * magnetic moment: 69.98 Bohr magnetons per cell
data_Fe6Ni8Pt
_space_group_name_H-M_alt 'R -3'
_space_group_IT_number 148
_space_group_name_Hall '-R 3'
_cell_length_a 5.9735
_cell_length_b 5.9735
_cell_length_c 19.1844
_cell_angle_alpha 90.00
_cell_angle_beta 90.00
_cell_angle_gamma 120.00
loop_
_atom_site_label
_atom_site_type_symbol
_atom_site_fract_x
_atom_site_fract_y
_atom_site_fract_z
_atom_site_occupancy
Fe1 Fe 0.0580 0.4500 0.2658 1
Ni1 Ni 0.0000 0.0000 0.3004 1
Ni2 Ni 0.0318 0.7780 0.1945 1
Pt1 Pt 0.0000 0.0000 0.0000 1

***

# Fe3Ni4Pt2, optimized geometry, DFT GGA-PBE
# * DOS at the Fermi energy: 25.18 states/eV/cell
# * E_tot: -6.82 eV per atom
# * energy of formation from the pure elements: -0.08 eV/atom
# * magnetic moment: 46.77 Bohr magnetons per cell
data_Fe3Ni4Pt2
_space_group_name_H-M_alt 'C 1 2/c 1'
_space_group_IT_number 15
_cell_length_a 12.022
_cell_length_b 8.591
_cell_length_c 4.420
_cell_angle_alpha 90.00
_cell_angle_beta 98.66
_cell_angle_gamma 90.00
loop_
_space_group_symop_operation_xyz
'x,y,z'
'-x,-y,-z'
'-x,y,-z+1/2'
'x,-y,z+1/2'
'x+1/2,y+1/2,z'
'-x+1/2,-y+1/2,-z'
'-x+1/2,y+1/2,-z+1/2'
'x+1/2,-y+1/2,z+1/2'
loop_
_atom_site_label
_atom_site_type_symbol
_atom_site_fract_x
_atom_site_fract_y
_atom_site_fract_z
_atom_site_occupancy
Fe1 Fe 0.000 0.136 0.250 1
Fe2 Fe 0.159 0.381 0.097 1
Ni1 Ni 0.052 0.379 0.529 1
Ni2 Ni 0.237 0.133 0.347 1
Pt1 Pt 0.120 0.122 0.798 1

***

# Fe2NiPt5, optimized geometry, DFT GGA-PBE
# * DOS at the Fermi energy: 11.93 states/eV/cell
# * E_tot: -6.83 eV per atom
# * energy of formation from the pure elements: -0.22 eV/atom
# * magnetic moment: 18.93 Bohr magnetons per cell
data_Fe2NiPt5
_space_group_name_H-M_alt 'P b a m'
_space_group_IT_number 55
_cell_length_a 5.466
_cell_length_b 10.903
_cell_length_c 3.877
_cell_angle_alpha 90.00
_cell_angle_beta 90.00
_cell_angle_gamma 90.00
loop_
_space_group_symop_operation_xyz
'x,y,z'
'-x,-y,-z'
'-x,-y,z'
'x,y,-z'
'x+1/2,-y+1/2,-z'
'-x+1/2,y+1/2,z'
'-x+1/2,y+1/2,-z'
'x+1/2,-y+1/2,z'
loop_
_atom_site_label
_atom_site_type_symbol
_atom_site_fract_x
_atom_site_fract_y
_atom_site_fract_z
_atom_site_occupancy
Fe1 Fe 0.246 0.124 0.000 1
Ni1 Ni 0.000 0.500 0.500 1
Pt1 Pt 0.000 0.000 0.500 1
Pt2 Pt 0.015 0.746 0.500 1
Pt3 Pt 0.235 0.381 0.000 1

***

# Fe6Ni2Pt, optimized geometry, DFT GGA-PBE
# * DOS at the Fermi energy: 12.80 states/eV/cell
# * E_tot: -7.64 eV per atom
# * energy of formation from the pure elements: -0.04 eV/atom
# * magnetic moment: 35.04 Bohr magnetons per cell
data_Fe6Ni2Pt
_space_group_name_H-M_alt 'C 1 2/m 1'
_space_group_IT_number 12
_cell_length_a 11.473
_cell_length_b 3.404
_cell_length_c 5.921
_cell_angle_alpha 90.00
_cell_angle_beta 108.45
_cell_angle_gamma 90.00
loop_
_space_group_symop_operation_xyz
'x,y,z'
'-x,-y,-z'
'-x,y,-z'
'x,-y,z'
'x+1/2,y+1/2,z'
'-x+1/2,-y+1/2,-z'
'-x+1/2,y+1/2,-z'
'x+1/2,-y+1/2,z'
loop_
_atom_site_label
_atom_site_type_symbol
_atom_site_fract_x
_atom_site_fract_y
_atom_site_fract_z
_atom_site_occupancy
Fe1 Fe 0.110 0.000 0.169 1
Fe2 Fe 0.169 0.500 0.505 1
Fe3 Fe 0.222 0.000 0.836 1
Ni1 Ni 0.057 0.500 0.851 1
Pt1 Pt 0.000 0.000 0.500 1

***

# Fe6Ni5Pt, optimized geometry, DFT GGA-PBE
# * DOS at the Fermi energy: 15.18 states/eV/cell
# * E_tot: -7.24 eV per atom
# * energy of formation from the pure elements: -0.10 eV/atom
# * magnetic moment: 38.78 Bohr magnetons per cell
data_Fe6Ni5Pt
_space_group_name_H-M_alt 'C m m m'
_space_group_IT_number 65
_space_group_name_Hall '-C 2 2'
_cell_length_a 3.596
_cell_length_b 10.811
_cell_length_c 7.270
_cell_angle_alpha 90.00
_cell_angle_beta 90.00
_cell_angle_gamma 90.00
loop_
_atom_site_label
_atom_site_type_symbol
_atom_site_fract_x
_atom_site_fract_y
_atom_site_fract_z
_atom_site_occupancy
Fe1 Fe 0.000 0.000 0.240 1
Fe2 Fe 0.000 0.331 0.245 1
Ni1 Ni 0.000 0.167 0.000 1
Ni2 Ni 0.000 0.171 0.500 1
Ni3 Ni 0.000 0.500 0.000 1
Pt1 Pt 0.000 0.500 0.500 1

***

# FeNi2Pt, optimized geometry, DFT GGA-PBE
# * DOS at the Fermi energy: 4.83 states/eV/cell
# * E_tot: -6.62 eV per atom
# * energy of formation from the pure elements: -0.11 eV/atom
# * magnetic moment: 4.52 Bohr magnetons per cell
data_FeNi2Pt
_space_group_name_H-M_alt 'P 1 2/m 1'
_space_group_IT_number 10
_cell_length_a 2.639
_cell_length_b 3.579
_cell_length_c 5.303
_cell_angle_alpha 90.00
_cell_angle_beta 90.25
_cell_angle_gamma 90.00
loop_
_space_group_symop_operation_xyz
'x,y,z'
'-x,-y,-z'
'-x,y,-z'
'x,-y,z'
loop_
_atom_site_label
_atom_site_type_symbol
_atom_site_fract_x
_atom_site_fract_y
_atom_site_fract_z
_atom_site_occupancy
Fe1 Fe 0.000 0.000 0.000 1
Ni1 Ni 0.499 0.500 0.235 1
Pt1 Pt 0.000 0.000 0.500 1